Record 1
Here is a geometry-optimized AgPdI3O9 structure from OQMD via LeMat-Bulk. Energies are from PBE-GGA.

Cell: 7.186 7.862 8.480 Å, 63.50 76.23 82.12°
Space group P-1 (No. 2)
Asymmetric unit:
Ag (0.189, 0.326, 0.340) x2
Pd (0.500, 0.500, 0.000) x1
Pd (0.500, 0.500, 0.500) x1
I (0.197, 0.794, 0.281) x2
I (0.214, 0.292, 0.902) x2
I (0.252, 0.863, 0.730) x2
O (0.024, 0.736, 0.819) x2
O (0.061, 0.160, 0.644) x2
O (0.166, 0.666, 0.153) x2
O (0.178, 0.039, 0.993) x2
O (0.215, 0.567, 0.491) x2
O (0.287, 0.946, 0.488) x2
O (0.368, 0.261, 0.064) x2
O (0.406, 0.633, 0.764) x2
O (0.421, 0.266, 0.728) x2

Properties
E_tot: -121.8 eV/cell

Record 2
Here is a geometry-optimized Ag4SeI2O4 structure from OQMD via LeMat-Bulk. Energies are from PBE-GGA.

Cell: 9.341 13.100 7.158 Å, 90.00 90.00 90.00°
Space group Pna2_1 (No. 33)
Asymmetric unit:
Ag (0.024, 0.018, 0.000) x4
Ag (0.045, 0.759, 0.829) x4
Ag (0.132, 0.415, 0.751) x4
Ag (0.234, 0.193, 0.901) x4
Se (0.180, 0.431, 0.246) x4
I (0.047, 0.814, 0.235) x4
I (0.231, 0.111, 0.272) x4
O (0.114, 0.364, 0.064) x4
O (0.123, 0.369, 0.438) x4
O (0.130, 0.553, 0.242) x4
O (0.136, 0.925, 0.744) x4

Properties
E_tot: -166.6 eV/cell

Record 3
Here is a geometry-optimized AgPI6 structure from OQMD via LeMat-Bulk. Energies are from PBE-GGA.

Cell: 10.772 10.772 10.772 Å, 90.00 90.00 90.00°
Space group F-43m (No. 216)
Asymmetric unit:
Ag (0.000, 0.000, 0.000) x4
P (0.250, 0.250, 0.250) x4
I (0.001, 0.250, 0.250) x24

Properties
E_tot: -62.0 eV/cell

Record 4
Here is a geometry-optimized Ag3PI structure from OQMD via LeMat-Bulk. Energies are from PBE-GGA.

Cell: 4.941 4.941 4.941 Å, 90.00 90.00 90.00°
Space group Pm-3m (No. 221)
Asymmetric unit:
Ag (0.000, 0.000, 0.500) x3
P (0.000, 0.000, 0.000) x1
I (0.500, 0.500, 0.500) x1

Properties
E_tot: -14.5 eV/cell

Record 5
Here is a geometry-optimized PaAgI6 structure from OQMD via LeMat-Bulk. Energies are from PBE-GGA.

Cell: 7.621 14.050 7.620 Å, 90.00 114.57 90.00°
Space group C2/m (No. 12)
Asymmetric unit:
Pa (0.000, 0.000, 0.000) x2
Ag (0.000, 0.500, 0.500) x2
I (0.227, 0.000, 0.773) x4
I (0.249, 0.347, 0.750) x8

Properties
E_tot: -55.2 eV/cell

Record 6
Here is a geometry-optimized AgPbSI structure from OQMD via LeMat-Bulk. Energies are from PBE-GGA.

Cell: 7.363 7.768 9.135 Å, 90.00 90.00 90.00°
Space group P2_12_12_1 (No. 19)
Asymmetric unit:
Ag (0.111, 0.118, 0.326) x4
Pb (0.239, 0.578, 0.402) x4
S (0.023, 0.329, 0.127) x4
I (0.003, 0.825, 0.885) x4

Properties
E_tot: -54.6 eV/cell

Record 7
Here is a geometry-optimized AgPdI6 structure from OQMD via LeMat-Bulk. Energies are from PBE-GGA.

Cell: 10.753 10.753 10.753 Å, 90.00 90.00 90.00°
Space group F-43m (No. 216)
Asymmetric unit:
Ag (0.000, 0.000, 0.000) x4
Pd (0.250, 0.250, 0.750) x4
I (0.000, 0.000, 0.258) x24

Properties
E_tot: -54.1 eV/cell

Record 8
Here is a geometry-optimized AgPdSI structure from OQMD via LeMat-Bulk. Energies are from PBE-GGA.

Cell: 7.041 7.683 7.951 Å, 90.00 90.00 90.00°
Space group P2_12_12_1 (No. 19)
Asymmetric unit:
Ag (0.176, 0.108, 0.418) x4
Pd (0.207, 0.487, 0.774) x4
S (0.167, 0.627, 0.031) x4
I (0.075, 0.171, 0.893) x4

Properties
E_tot: -55.7 eV/cell

Record 9
Here is a geometry-optimized PrAg2I structure from OQMD via LeMat-Bulk. Energies are from PBE-GGA.

Cell: 4.961 4.961 16.620 Å, 90.00 90.00 90.00°
Space group I4/mmm (No. 139)
Asymmetric unit:
Pr (0.000, 0.500, 0.250) x4
Ag (0.000, 0.000, 0.105) x4
Ag (0.000, 0.500, 0.000) x4
I (0.000, 0.000, 0.374) x4

Properties
E_tot: -50.0 eV/cell

Record 10
Here is a geometry-optimized RbAgI2 structure from OQMD via LeMat-Bulk. Energies are from PBE-GGA.

Cell: 5.577 5.577 10.635 Å, 90.00 90.00 90.00°
Space group P4/nmm (No. 129, origin choice 2)
Asymmetric unit:
Rb (0.250, 0.250, 0.210) x2
Ag (0.250, 0.250, 0.605) x2
I (0.250, 0.250, 0.867) x2
I (0.250, 0.750, 0.500) x2

Properties
E_tot: -20.5 eV/cell

Record 11
Here is a geometry-optimized AgSnSI structure from OQMD via LeMat-Bulk. Energies are from PBE-GGA.

Cell: 7.254 7.677 9.135 Å, 90.00 90.00 90.00°
Space group P2_12_12_1 (No. 19)
Asymmetric unit:
Ag (0.100, 0.114, 0.337) x4
Sn (0.234, 0.582, 0.409) x4
S (0.030, 0.315, 0.120) x4
I (0.006, 0.833, 0.893) x4

Properties
E_tot: -54.7 eV/cell

Record 12
Here is a geometry-optimized ScTl2AgI6 structure from OQMD via LeMat-Bulk. Energies are from PBE-GGA.

Cell: 8.3284 8.3284 19.2842 Å, 90.00 90.00 120.00°
Space group R3 (No. 146, hexagonal axes)
Asymmetric unit:
Sc (0.0000, 0.0000, 0.0000) x3
Tl (0.0000, 0.0000, 0.2524) x3
Tl (0.0000, 0.0000, 0.7478) x3
Ag (0.0000, 0.0000, 0.4994) x3
I (0.0146, 0.5921, 0.7515) x9
I (0.0889, 0.3468, 0.5827) x9

Properties
E_tot: -92.3 eV/cell

| no. | volume (Å³/f.u.) |
| --- | --- |
| 1 | 208 |
| 2 | 219 |
| 3 | 312 |
| 4 | 121 |
| 5 | 371 |
| 6 | 131 |
| 7 | 311 |
| 8 | 108 |
| 9 | 102 |
| 10 | 165 |
| 11 | 127 |
| 12 | 386 |